# Cd2GeHS

An optimized crystal structure of Cd2GeHS (PBE, Alexandria via LeMat-Bulk).

a = 5.4596 Å, b = 3.1105 Å, c = 5.4596 Å
α = 90.00°, β = 90.00°, γ = 90.00°
Sites, in units of the cell vectors:
Cd (0.5000, 0.0000, 0.0000)
S (0.0000, 0.5000, 0.0000)
Cd (0.0000, 0.0000, 0.5000)
H (0.0000, 0.0000, 0.0000)
Ge (0.5000, 0.5000, 0.5000)

Results
The spin magnetization comes out at 0.00 μB per formula unit. Its space group is P4/mmm (123). The value obtained for the total energy is -12.6 eV per formula unit.